## Pm2Zn12CuNi3 (PBE)

Data for Pm2Zn12CuNi3 after structural relaxation.

Cell: 8.3955 8.3955 18.0859 Å, 90.00 90.00 120.00°
Space group R-3m (No. 166, hexagonal axes)
Asymmetric unit:
Pm (0.0000, 0.0000, 0.1062) x6
Zn (0.0100, 0.5050, 0.1282) x18
Zn (0.0248, 0.5124, 0.3357) x18
Cu (0.0000, 0.0000, 0.5000) x3
Ni (0.0000, 0.5000, 0.0000) x9

Summary:
DOS at the Fermi energy   0.471 states/eV/atom
Density   5.93 Mg/m³
Volume   1104 Å³ per cell
Formation energy from the elements   0.204 eV/atom

---

## Sm4Dy3Ni2 (PBE)

Data for Sm4Dy3Ni2 after structural relaxation.

Cell: 16.697 3.647 9.067 Å, 90.00 113.22 90.00°
Space group C2/m (No. 12)
Asymmetric unit:
Sm (0.130, 0.000, 0.389) x4
Sm (0.229, 0.500, 0.154) x4
Dy (0.000, 0.500, 0.000) x2
Dy (0.071, 0.500, 0.690) x4
Ni (0.116, 0.000, 0.939) x4

Summary:
DOS at the Fermi energy   1.202 states/eV/atom
Density   7.90 Mg/m³
Volume   507 Å³ per cell
Formation energy from the elements   -0.152 eV/atom

---

## Mg2ScHPb (PBE)

Data for Mg2ScHPb after structural relaxation.

Cell: 4.533 4.533 4.409 Å, 90.00 90.00 90.00°
Space group P4/mmm (No. 123)
Asymmetric unit:
Mg (0.000, 0.500, 0.000) x2
Sc (0.000, 0.000, 0.500) x1
H (0.000, 0.000, 0.000) x1
Pb (0.500, 0.500, 0.500) x1

Summary:
DOS at the Fermi energy   0.460 states/eV/atom
Density   5.53 Mg/m³
Volume   91 Å³ per cell
Electronic total energy   -3.52 eV per atom

---

## MnCdSb2 (PBE)

Data for MnCdSb2 after structural relaxation.

Cell: 7.034 8.120 3.252 Å, 90.00 90.00 90.00°
Space group Cmmm (No. 65)
Asymmetric unit:
Mn (0.000, 0.000, 0.000) x2
Cd (0.000, 0.500, 0.000) x2
Sb (0.250, 0.250, 0.500) x4

Summary:
DOS at the Fermi energy   0.464 states/eV/atom
Density   7.35 Mg/m³
Formation energy (no corrections)   0.289 eV/atom
Volume   186 Å³ per cell

---

## Mg2CuAu2 (PBE)

Data for Mg2CuAu2 after structural relaxation.

Cell: 4.017 4.017 12.310 Å, 90.00 90.00 90.00°
Space group I4/mmm (No. 139)
Asymmetric unit:
Mg (0.000, 0.500, 0.250) x4
Cu (0.000, 0.000, 0.000) x2
Au (0.000, 0.000, 0.393) x4

Summary:
DOS at the Fermi energy   0.237 states/eV/atom
Density   8.46 Mg/m³
Volume   199 Å³ per cell
Formation energy from the elements   -0.046 eV/atom

---

## Ac5Ni2Sn5 (PBE)

Data for Ac5Ni2Sn5 after structural relaxation.

Cell: 17.009 4.660 12.635 Å, 90.00 131.73 90.00°
Space group C2/m (No. 12)
Asymmetric unit:
Ac (0.000, 0.000, 0.000) x2
Ac (0.119, 0.000, 0.424) x4
Ac (0.195, 0.000, 0.819) x4
Ni (0.145, 0.500, 0.258) x4
Sn (0.000, 0.500, 0.500) x2
Sn (0.052, 0.500, 0.842) x4
Sn (0.246, 0.000, 0.308) x4

Summary:
DOS at the Fermi energy   0.701 states/eV/atom
Density   8.20 Mg/m³
Volume   747 Å³ per cell
Formation energy from the elements   -0.589 eV/atom

---

## RbZnSiGe2 (PBE)

Data for RbZnSiGe2 after structural relaxation.

Cell: 5.108 5.108 4.951 Å, 90.00 90.00 90.00°
Space group P4/mmm (No. 123)
Asymmetric unit:
Rb (0.000, 0.000, 0.000) x1
Zn (0.500, 0.500, 0.500) x1
Si (0.500, 0.500, 0.000) x1
Ge (0.000, 0.500, 0.500) x2

Summary:
DOS at the Fermi energy   0.668 states/eV/atom
Density   4.17 Mg/m³
Formation energy (no corrections)   0.552 eV/atom
Volume   129 Å³ per cell

---

## ReSbP2 (PBE)

Data for ReSbP2 after structural relaxation.

Cell: 3.256 4.888 8.753 Å, 90.00 90.00 90.00°
Space group Imm2 (No. 44)
Asymmetric unit:
Re (0.000, 0.000, 0.000) x2
Sb (0.000, 0.500, 0.188) x2
P (0.000, 0.000, 0.444) x2
P (0.000, 0.500, 0.692) x2

Summary:
DOS at the Fermi energy   0.726 states/eV/atom
Density   8.82 Mg/m³
Formation energy (no corrections)   0.656 eV/atom
Volume   139 Å³ per cell